Record 1
Compound: ErCu9Sn2
Source: Alexandria via LeMat-Bulk
Functional: GGA-PBE
Structure: relaxed

```
24
Lattice="4.979 0.000 0.000 0.000 8.470 0.000 0.000 0.000 8.470" Properties=species:S:1:pos:R:3 pbc="T T T"
Sn 0.000 1.099 3.136
Cu 1.225 7.007 2.772
Sn 0.000 5.334 1.099
Cu 1.225 1.464 5.699
Cu 3.754 1.464 5.699
Cu 2.489 4.784 2.530
Cu 3.754 7.007 2.772
Cu 1.225 2.772 1.464
Cu 2.489 4.235 0.000
Cu 2.489 0.548 1.705
Cu 3.754 2.772 1.464
Cu 1.225 5.699 7.007
Cu 2.489 2.530 3.687
Er 0.000 0.000 0.000
Cu 3.754 5.699 7.007
Cu 2.489 5.940 4.784
Cu 2.489 3.687 5.940
Cu 2.489 7.922 6.765
Cu 2.489 0.000 4.235
Cu 2.489 6.765 0.548
Sn 0.000 3.136 7.372
Cu 2.489 1.705 7.922
Er 0.000 4.235 4.235
Sn 0.000 7.372 5.334
```

Calculated values
Crystal system: tetragonal
V, A^3/atom: 14.88
ΔE to the lowest computed polymorph, meV per atom: 0
E, eV per atom: -4.268

Record 2
Compound: ErCuSn
Source: Alexandria via LeMat-Bulk
Functional: GGA-PBE
Structure: relaxed

```
6
Lattice="4.524 0.000 0.000 -2.262 3.918 0.000 0.000 0.000 7.216" Properties=species:S:1:pos:R:3 pbc="T T T"
Cu 0.000 2.612 4.873
Sn 2.262 1.306 5.550
Sn 0.000 2.612 1.942
Cu 2.262 1.306 1.265
Er 0.000 0.000 7.215
Er 0.000 0.000 3.607
```

Calculated values
Crystal system: hexagonal
V, A^3/atom: 21.32
E, eV per atom: -4.817

Record 3
Compound: Er7Cu2Sn2
Source: Alexandria via LeMat-Bulk
Functional: GGA-PBE
Structure: relaxed

```
11
Lattice="6.777 -0.003 -0.832 0.003 6.862 0.003 -1.253 -0.002 6.712" Properties=species:S:1:pos:R:3 pbc="T T T"
Er 6.150 1.735 2.527
Er -0.622 5.122 3.356
Cu 4.447 6.859 1.363
Er 2.140 5.119 6.297
Er 2.761 1.623 2.942
Er 0.000 0.000 0.000
Er 3.387 1.737 -0.414
Er 2.766 5.234 2.941
Cu 1.081 -0.002 4.520
Sn 0.997 3.430 1.061
Sn 4.530 3.427 4.822
```

Calculated values
Crystal system: orthorhombic
V, A^3/atom: 27.73
E, eV per atom: -4.541

Record 4
Compound: ErCuSn
Source: Alexandria via LeMat-Bulk
Functional: GGA-PBE
Structure: relaxed

```
3
Lattice="3.372 0.000 0.000 0.000 3.372 0.000 -1.686 -1.686 5.665" Properties=species:S:1:pos:R:3 pbc="T T T"
Sn 1.686 1.686 4.862
Er 1.686 1.686 1.538
Cu 0.000 0.000 3.231
```

Calculated values
Crystal system: tetragonal
V, A^3/atom: 21.47
E, eV per atom: -4.499

Record 5
Compound: ErThCuSn
Source: Alexandria via LeMat-Bulk
Functional: GGA-PBE
Structure: relaxed

```
4
Lattice="-1.406 -4.978 -0.630 1.924 -3.671 3.159 -3.091 -2.299 3.509" Properties=species:S:1:pos:R:3 pbc="T T T"
Cu -1.930 -8.211 4.528
Er -1.287 -5.474 3.019
Th 0.000 0.000 0.000
Sn -0.643 -2.737 1.509
```

Calculated values
Crystal system: cubic
V, A^3/atom: 25.02
E, eV per atom: -5.311

Record 6
Compound: ErTmCuSn
Source: Alexandria via LeMat-Bulk
Functional: GGA-PBE
Structure: relaxed

```
4
Lattice="5.085 0.000 0.000 2.542 4.403 0.000 2.542 1.468 4.152" Properties=species:S:1:pos:R:3 pbc="T T T"
Cu 7.627 4.403 3.114
Tm 5.085 2.936 2.076
Er 0.000 0.000 0.000
Sn 2.542 1.468 1.038
```

Calculated values
Crystal system: cubic
V, A^3/atom: 23.24
E, eV per atom: -4.697

Record 7
Compound: YErCuSn
Source: Alexandria via LeMat-Bulk
Functional: GGA-PBE
Structure: relaxed

```
4
Lattice="-0.375 5.107 0.194 -2.652 2.512 -3.594 -4.476 2.197 1.184" Properties=species:S:1:pos:R:3 pbc="T T T"
Sn 0.000 0.000 0.000
Y -5.627 7.363 -1.662
Cu -3.752 4.909 -1.108
Er -1.876 2.454 -0.554
```

Calculated values
Crystal system: cubic
V, A^3/atom: 23.79
E, eV per atom: -5.217

Record 8
Compound: SrErCu10
Source: Alexandria via LeMat-Bulk
Functional: GGA-PBE
Structure: relaxed

```
12
Lattice="4.037 0.000 0.000 0.000 5.185 0.000 0.000 0.000 8.888" Properties=species:S:1:pos:R:3 pbc="T T T"
Cu 0.000 2.592 1.410
Cu 0.000 2.592 7.479
Cu 2.019 1.258 6.766
Cu 2.019 3.927 2.122
Cu 0.000 0.000 6.011
Er 0.000 0.000 0.000
Cu 2.019 3.927 6.766
Cu 2.019 1.258 2.122
Cu 0.000 0.000 2.877
Cu 2.019 2.592 0.000
Cu 2.019 0.000 4.444
Sr 0.000 2.592 4.444
```

Calculated values
Crystal system: orthorhombic
V, A^3/atom: 15.50
E, eV per atom: -4.064

| no. | formation enthalpy at 0 K (eV/atom) |
| --- | --- |
| 1 | -0.1489 |
| 2 | -0.5959 |
| 3 | -0.1647 |
| 4 | -0.2783 |
| 5 | -0.2909 |
| 6 | -0.4136 |
| 7 | -0.4356 |
| 8 | -0.1303 |